Density functional theory data (PBE+U) for a relaxed MnIO2F crystal.

Computed properties:
Calculated volume ... 18.96 Å³ per atom
Crystal system ... tetragonal
Calculated total energy ... -22.1 eV per cell

a b c (Å): 4.0431 4.0431 5.7991
angles (deg): 90.00 90.00 90.00
Element x y z (fractional)
O: 0.5000 0.0000 0.0000
O: 0.0000 0.5000 0.0000
Mn: 0.5000 0.5000 0.5000
I: 0.0000 0.0000 0.0000
F: 0.0000 0.0000 0.5000